Record 1
A relaxed structure of PuCdInSn, computed with GGA-PBE.

Results
Excess energy over the best structure of this formula in the dataset (eV per atom): 0.154
E (eV per formula unit): -22.3
Fermi-level density of states (states/eV/f.u.): 13.35
Energy of formation from the pure elements (eV/atom): -0.089

Cell lengths 5.2562, 5.2562, 5.2562 Å; angles 60.00, 60.00, 60.00 degrees
Last column: magnetic moment on the atom in μB.
Atoms (fractional coordinates):
Sn (0.2500, 0.2500, 0.2500)  0.00
In (0.7500, 0.7500, 0.7500)  0.01
Cd (0.0000, 0.0000, 0.0000)  -0.02
Pu (0.5000, 0.5000, 0.5000)  5.47

***

Record 2
A relaxed structure of KRh, computed with GGA-PBE.

Results
Excess energy over the best structure of this formula in the dataset (eV per atom): 0.173
E (eV per formula unit): -7.4
Fermi-level density of states (states/eV/f.u.): 1.62
Energy of formation from the pure elements (eV/atom): 0.541

Cell lengths 6.7129, 7.5784, 7.6053 Å; angles 90.00, 90.00, 90.00 degrees
Atoms (fractional coordinates):
Rh (0.8860, 0.6148, 0.3943)
Rh (0.8729, 0.3732, 0.1463)
Rh (0.6140, 0.3852, 0.8943)
Rh (0.3729, 0.1268, 0.8537)
Rh (0.6271, 0.6268, 0.6463)
Rh (0.1140, 0.1148, 0.1057)
Rh (0.3860, 0.8852, 0.6057)
Rh (0.1271, 0.8732, 0.3537)
K (0.0887, 0.4627, 0.7872)
K (0.1872, 0.2594, 0.4719)
K (0.3128, 0.7406, 0.9719)
K (0.4113, 0.5373, 0.2872)
K (0.6872, 0.2406, 0.5281)
K (0.9113, 0.9627, 0.7128)
K (0.8128, 0.7594, 0.0281)
K (0.5887, 0.0373, 0.2128)

***

Record 3
A relaxed structure of Na4Ac3MnS8, computed with GGA-PBE.

Results
Formation energy without anion corrections (eV/atom): -1.470
E (eV per formula unit): -83.3
Fermi-level density of states (states/eV/f.u.): 3.21

Cell lengths 8.3853, 8.2920, 8.3850 Å; angles 120.41, 120.00, 90.00 degrees
Last column: magnetic moment on the atom in μB.
Atoms (fractional coordinates):
S (0.2223, 0.2736, 0.9979)  -0.02
S (0.7777, 0.7264, 0.0021)  -0.02
S (0.7751, 0.2731, 0.5501)  -0.02
S (0.7492, 0.7474, 0.4984)  0.00
S (0.2245, 0.7264, 0.0021)  -0.02
S (0.2508, 0.2526, 0.5016)  0.00
S (0.2249, 0.7269, 0.4499)  -0.02
S (0.7755, 0.2736, 0.9979)  -0.02
Mn (0.0000, 0.5000, 0.0000)  3.87
Ac (0.5000, 0.5000, 0.5000)  0.01
Ac (0.5000, 0.5000, 0.0000)  0.01
Ac (0.0000, 0.5000, 0.5000)  0.01
Na (0.5000, 0.0000, 0.0000)  0.01
Na (0.0000, 0.0000, 0.5000)  0.00
Na (0.5000, 0.0000, 0.5000)  0.00
Na (0.0000, 0.0000, 0.0000)  0.00

***

Record 4
A relaxed structure of SmBe4B4, computed with GGA-PBE.

Results
E (eV per formula unit): -47.3
Fermi-level density of states (states/eV/f.u.): 2.51
Energy of formation from the pure elements (eV/atom): -0.105

Cell lengths 4.9106, 4.9106, 6.9263 Å; angles 90.00, 90.00, 90.00 degrees
Atoms (fractional coordinates):
Be (0.5000, 0.7273, 0.1300)
Be (0.0000, 0.2273, 0.3700)
Be (0.2727, 0.5000, 0.8700)
Be (0.7727, 0.0000, 0.6300)
Be (0.5000, 0.2727, 0.1300)
Be (0.0000, 0.7727, 0.3700)
Be (0.2273, 0.0000, 0.6300)
Be (0.7273, 0.5000, 0.8700)
B (0.8340, 0.5000, 0.1690)
B (0.5000, 0.8340, 0.8310)
B (0.6660, 0.0000, 0.3310)
B (0.0000, 0.6660, 0.6690)
B (0.5000, 0.1660, 0.8310)
B (0.3340, 0.0000, 0.3310)
B (0.1660, 0.5000, 0.1690)
B (0.0000, 0.3340, 0.6690)
Sm (0.5000, 0.5000, 0.5000)
Sm (0.0000, 0.0000, 0.0000)